Entry from the Alexandria database: a relaxed structure of La3PrAu4 (GGA-PBE).

POSCAR file:
```
La3PrAu4
1.0
5.138 0.000 -1.387
-0.368 5.131 -1.365
-0.481 -0.544 8.430
Pr La Au
1 3 4
Direct
0.500 0.000 0.000 Pr
0.750 0.250 0.500 La
0.000 0.500 0.000 La
0.250 0.750 0.500 La
0.376 0.376 0.752 Au
0.124 0.124 0.248 Au
0.876 0.876 0.752 Au
0.624 0.624 0.248 Au
```

## Properties
For the calculated total energy, the calculation gives -0.1784 hartree per atom. The value obtained for the energy relative to the elements is -0.7705 eV per atom. Its density of states at the Fermi level is 0.83 states/eV per atom. The space group is C2/m (12).